DFT (PBE) results for an optimized crystal structure of Th3P2C.

As for the formation energy from the elements: -102.2 kJ/mol of atoms. The density is 9.1 Mg/m³. The value obtained for the energy relative to the lowest polymorph listed for this composition is 0.15 eV per formula unit. The magnetization is 0.0 μB/f.u.

It has space group I4/mmm (No. 139), with a = 4.056 Å, b = 4.056 Å, c = 17.044 Å, α = 90.00°, β = 90.00° and γ = 90.00°. Symmetry generates all atoms from Th at (0.000, 0.000, 0.000), Th at (0.000, 0.000, 0.346), P at (0.000, 0.000, 0.170) and C at (0.000, 0.000, 0.500).

DFT (PBE) results for an optimized crystal structure of Ti6P3C.

As for the formation energy from the elements: -74.9 kJ/mol of atoms. The density is 4.3 Mg/m³. The magnetization is 0.0 μB/f.u.

It has space group C2/m (No. 12), with a = 10.130 Å, b = 5.527 Å, c = 6.472 Å, α = 90.00°, β = 122.92° and γ = 90.00°. Symmetry generates all atoms from Ti at (0.080, 0.244, 0.347), Ti at (0.225, 0.000, 0.838), P at (0.000, 0.500, 0.000), P at (0.228, 0.500, 0.736) and C at (0.000, 0.000, 0.500).

DFT (PBE) results for an optimized crystal structure of TiPC2.

As for the formation energy from the elements: 12.6 kJ/mol of atoms. The density is 3.9 Mg/m³. The magnetization is 0.0 μB/f.u.

It has space group I-42d (No. 122), with a = 4.858 Å, b = 4.858 Å, c = 7.425 Å, α = 90.00°, β = 90.00° and γ = 90.00°. Symmetry generates all atoms from Ti at (0.000, 0.000, 0.000), P at (0.000, 0.000, 0.500) and C at (0.190, 0.250, 0.625).

DFT (PBE) results for an optimized crystal structure of Ti4P2C.

As for the formation energy from the elements: -99.2 kJ/mol of atoms. The density is 4.4 Mg/m³. The magnetization is 0.0 μB/f.u.

It has space group Pbam (No. 55), with a = 6.163 Å, b = 9.700 Å, c = 3.373 Å, α = 90.00°, β = 90.00° and γ = 90.00°. Symmetry generates all atoms from Ti at (0.122, 0.195, 0.000), Ti at (0.215, 0.945, 0.500), P at (0.084, 0.674, 0.500) and C at (0.000, 0.000, 0.000).